Entry 1:
Below is a geometry-optimized AcNdGa structure, with properties calculated at the GGA-PBE level.

The value obtained for the theoretical density is 7535 kg/m3. The calculation puts the formation enthalpy at 0 K at -0.346 eV/atom. The density of states at the Fermi level comes out at 1.274 states/eV per atom. As for the total magnetization: 0.000 μB/cell.

Cell and atoms, written as CIF:
```
data_AcNdGa
_symmetry_space_group_name_H-M 'P 1'
_symmetry_Int_Tables_number 1
_cell_length_a 4.8687
_cell_length_b 4.8687
_cell_length_c 8.1994
_cell_angle_alpha 90.00
_cell_angle_beta 90.00
_cell_angle_gamma 90.00
loop_
_symmetry_equiv_pos_as_xyz
'x,y,z'
loop_
_atom_site_label
_atom_site_fract_x
_atom_site_fract_y
_atom_site_fract_z
Ac1 0.2500 0.2500 0.1388
Ac2 0.7500 0.7500 0.8612
Nd1 0.2500 0.7500 0.5000
Nd2 0.7500 0.2500 0.5000
Ga1 0.2500 0.2500 0.7478
Ga2 0.7500 0.7500 0.2522
```

=====

Entry 2:
Below is a geometry-optimized Cs2SrTe structure, with properties calculated at the GGA-PBE level.

For the raw formation energy, the calculation gives -0.33 eV per atom. The value obtained for the theoretical density is 3524 kg/m3. The density of states at the Fermi level comes out at 0.000 states/eV per atom. As for the total magnetization: 0.000 μB/cell.

Cell and atoms, written as CIF:
```
data_Cs2SrTe
_symmetry_space_group_name_H-M 'P 1'
_symmetry_Int_Tables_number 1
_cell_length_a 6.8436
_cell_length_b 6.8436
_cell_length_c 6.8436
_cell_angle_alpha 60.00
_cell_angle_beta 60.00
_cell_angle_gamma 60.00
loop_
_symmetry_equiv_pos_as_xyz
'x,y,z'
loop_
_atom_site_label
_atom_site_fract_x
_atom_site_fract_y
_atom_site_fract_z
Cs1 0.2500 0.2500 0.2500
Cs2 0.7500 0.7500 0.7500
Sr1 0.0000 0.0000 0.0000
Te1 0.5000 0.5000 0.5000
```

=====

Entry 3:
Below is a geometry-optimized DyEr2Cd structure, with properties calculated at the GGA-PBE level.

The value obtained for the theoretical density is 8712 kg/m3. The calculation puts the formation enthalpy at 0 K at -0.074 eV/atom. The density of states at the Fermi level comes out at 1.018 states/eV per atom. As for the total magnetization: 0.000 μB/cell.

Cell and atoms, written as CIF:
```
data_DyEr2Cd
_symmetry_space_group_name_H-M 'P 1'
_symmetry_Int_Tables_number 1
_cell_length_a 10.9039
_cell_length_b 10.9039
_cell_length_c 10.9039
_cell_angle_alpha 18.68
_cell_angle_beta 18.68
_cell_angle_gamma 18.68
loop_
_symmetry_equiv_pos_as_xyz
'x,y,z'
loop_
_atom_site_label
_atom_site_fract_x
_atom_site_fract_y
_atom_site_fract_z
Dy1 0.0000 0.0000 0.0000
Er1 0.2447 0.2447 0.2447
Er2 0.7553 0.7553 0.7553
Cd1 0.5000 0.5000 0.5000
```

=====

Entry 4:
Below is a geometry-optimized La2Th structure, with properties calculated at the GGA-PBE level.

The value obtained for the theoretical density is 6792 kg/m3. The calculation puts the formation enthalpy at 0 K at 0.723 eV/atom. The density of states at the Fermi level comes out at 2.191 states/eV per atom. As for the total magnetization: 1.130 μB/cell.

Cell and atoms, written as CIF:
```
data_La2Th
_symmetry_space_group_name_H-M 'P 1'
_symmetry_Int_Tables_number 1
_cell_length_a 5.6070
_cell_length_b 5.6070
_cell_length_c 5.6070
_cell_angle_alpha 60.00
_cell_angle_beta 60.00
_cell_angle_gamma 60.00
loop_
_symmetry_equiv_pos_as_xyz
'x,y,z'
loop_
_atom_site_label
_atom_site_fract_x
_atom_site_fract_y
_atom_site_fract_z
La1 0.2500 0.2500 0.2500
La2 0.7500 0.7500 0.7500
Th1 0.0000 0.0000 0.0000
```

=====

Entry 5:
Below is a geometry-optimized Zn2CrIn structure, with properties calculated at the GGA-PBE level.

The value obtained for the theoretical density is 7489 kg/m3. The calculation puts the formation enthalpy at 0 K at 0.178 eV/atom. The density of states at the Fermi level comes out at 0.752 states/eV per atom. As for the total magnetization: 2.947 μB/cell.

Cell and atoms, written as CIF:
```
data_Zn2CrIn
_symmetry_space_group_name_H-M 'P 1'
_symmetry_Int_Tables_number 1
_cell_length_a 4.0175
_cell_length_b 4.0175
_cell_length_c 4.0886
_cell_angle_alpha 90.00
_cell_angle_beta 90.00
_cell_angle_gamma 90.00
loop_
_symmetry_equiv_pos_as_xyz
'x,y,z'
loop_
_atom_site_label
_atom_site_fract_x
_atom_site_fract_y
_atom_site_fract_z
Zn1 0.0000 0.5000 0.0000
Zn2 0.5000 0.0000 0.0000
Cr1 0.0000 0.0000 0.5000
In1 0.5000 0.5000 0.5000
```

=====

Entry 6:
Below is a geometry-optimized TbPu3Ga8 structure, with properties calculated at the GGA-PBE level.

The value obtained for the theoretical density is 10116 kg/m3. The calculation puts the formation enthalpy at 0 K at -0.424 eV/atom. The density of states at the Fermi level comes out at 1.940 states/eV per atom. As for the total magnetization: 17.174 μB/cell.

Cell and atoms, written as CIF:
```
data_TbPu3Ga8
_symmetry_space_group_name_H-M 'P 1'
_symmetry_Int_Tables_number 1
_cell_length_a 9.5578
_cell_length_b 9.5578
_cell_length_c 9.5578
_cell_angle_alpha 33.57
_cell_angle_beta 33.57
_cell_angle_gamma 33.57
loop_
_symmetry_equiv_pos_as_xyz
'x,y,z'
loop_
_atom_site_label
_atom_site_fract_x
_atom_site_fract_y
_atom_site_fract_z
Tb1 0.0000 0.0000 0.0000
Pu1 0.3810 0.3810 0.3810
Pu2 0.5013 0.5013 0.5013
Pu3 0.8724 0.8724 0.8724
Ga1 0.1890 0.1890 0.1890
Ga2 0.4375 0.9375 0.9375
Ga3 0.4389 0.4389 0.9408
Ga4 0.4389 0.9408 0.4389
Ga5 0.6885 0.6885 0.6885
Ga6 0.9375 0.4375 0.9375
Ga7 0.9375 0.9375 0.4375
Ga8 0.9408 0.4389 0.4389
```

=====

Entry 7:
Below is a geometry-optimized Ba2PmThBi4 structure, with properties calculated at the GGA-PBE level.

The value obtained for the theoretical density is 7726 kg/m3. The calculation puts the formation enthalpy at 0 K at -0.807 eV/atom. The density of states at the Fermi level comes out at 0.781 states/eV per atom. As for the total magnetization: 0.000 μB/cell.

Cell and atoms, written as CIF:
```
data_Ba2PmThBi4
_symmetry_space_group_name_H-M 'P 1'
_symmetry_Int_Tables_number 1
_cell_length_a 8.2452
_cell_length_b 4.7588
_cell_length_c 8.6004
_cell_angle_alpha 90.00
_cell_angle_beta 108.66
_cell_angle_gamma 90.00
loop_
_symmetry_equiv_pos_as_xyz
'x,y,z'
loop_
_atom_site_label
_atom_site_fract_x
_atom_site_fract_y
_atom_site_fract_z
Ba1 0.0000 0.0000 0.0000
Ba2 0.5000 0.5000 0.0000
Pm1 0.0000 0.5000 0.5000
Th1 0.5000 0.0000 0.5000
Bi1 0.2402 0.0000 0.7185
Bi2 0.2615 0.5000 0.2814
Bi3 0.7385 0.5000 0.7186
Bi4 0.7598 0.0000 0.2815
```

=====

Entry 8:
Below is a geometry-optimized NaTb2Rh structure, with properties calculated at the GGA-PBE level.

The value obtained for the theoretical density is 6548 kg/m3. The calculation puts the formation enthalpy at 0 K at -0.350 eV/atom. The density of states at the Fermi level comes out at 0.783 states/eV per atom. As for the total magnetization: 0.000 μB/cell.

Cell and atoms, written as CIF:
```
data_NaTb2Rh
_symmetry_space_group_name_H-M 'P 1'
_symmetry_Int_Tables_number 1
_cell_length_a 3.4766
_cell_length_b 3.4766
_cell_length_c 9.3103
_cell_angle_alpha 90.00
_cell_angle_beta 90.00
_cell_angle_gamma 90.00
loop_
_symmetry_equiv_pos_as_xyz
'x,y,z'
loop_
_atom_site_label
_atom_site_fract_x
_atom_site_fract_y
_atom_site_fract_z
Na1 0.0000 0.0000 0.0000
Tb1 0.5000 0.5000 0.3257
Tb2 0.5000 0.5000 0.6743
Rh1 0.0000 0.0000 0.5000
```